# 1
Ca2HgPb | GGA-PBE | optimized geometry

Cell lengths 3.9044, 5.2343, 11.6585 Å; angles 90.00, 90.00, 90.00 degrees
Space group Imm2 (No. 44)
Inequivalent atoms, fractional coordinates:
1 Ca 0.0000 0.0000 0.0000 x2
2 Ca 0.0000 0.5000 0.2198 x2
3 Hg 0.0000 0.5000 0.7243 x2
4 Pb 0.0000 0.0000 0.4446 x2

ΔH_f (0 K) = -444 meV/atom
magnetization = 0.00 μB per atom


# 2
CaHg9Pb2 | GGA-PBE | optimized geometry

Cell lengths 5.6754, 6.6157, 9.3347 Å; angles 102.60, 93.88, 106.88 degrees
Space group P-1 (No. 2)
Inequivalent atoms, fractional coordinates:
1 Ca 0.0000 0.0000 0.0000 x1
2 Hg 0.0000 0.5000 0.0000 x1
3 Hg 0.0159 0.6787 0.6751 x2
4 Hg 0.4806 0.4056 0.1686 x2
5 Hg 0.4819 0.7475 0.4997 x2
6 Hg 0.4835 0.9015 0.1572 x2
7 Pb 0.0216 0.1758 0.6662 x2

ΔH_f (0 K) = -101 meV/atom
magnetization = 0.00 μB per atom